# POsRu2 (GGA-PBE, optimized geometry)
# - Energy relative to the elements: 0.44 eV/atom
data_POsRu2
_cell_length_a 2.790
_cell_length_b 2.790
_cell_length_c 8.335
_cell_angle_alpha 90.00
_cell_angle_beta 90.00
_cell_angle_gamma 119.47
_space_group_name_H-M_alt 'P 1'
_space_group_IT_number 1
loop_
_space_group_symop_operation_xyz
'x,y,z'
loop_
_atom_site_label
_atom_site_type_symbol
_atom_site_fract_x
_atom_site_fract_y
_atom_site_fract_z
_atom_site_occupancy
P1 P 0.000 0.000 0.000 1
Os1 Os 0.500 0.500 0.775 1
Ru1 Ru 0.000 0.000 0.497 1
Ru2 Ru 0.500 0.500 0.219 1

***

# ScHRh2 (GGA-PBE, optimized geometry)
# - E above lowest polymorph: 50.6 kJ/mol of atoms
data_ScHRh2
_cell_length_a 7.451
_cell_length_b 7.451
_cell_length_c 7.451
_cell_angle_alpha 22.39
_cell_angle_beta 22.39
_cell_angle_gamma 22.39
_space_group_name_H-M_alt 'P 1'
_space_group_IT_number 1
loop_
_space_group_symop_operation_xyz
'x,y,z'
loop_
_atom_site_label
_atom_site_type_symbol
_atom_site_fract_x
_atom_site_fract_y
_atom_site_fract_z
_atom_site_occupancy
Sc1 Sc 0.000 0.000 0.000 1
H1 H 0.500 0.500 0.500 1
Rh1 Rh 0.113 0.113 0.113 1
Rh2 Rh 0.887 0.887 0.887 1

***

# TbCeScCd (GGA-PBE, optimized geometry)
# - Energy relative to the elements: 0.00 eV/atom
data_TbCeScCd
_cell_length_a 5.366
_cell_length_b 5.366
_cell_length_c 5.366
_cell_angle_alpha 60.00
_cell_angle_beta 60.00
_cell_angle_gamma 60.00
_space_group_name_H-M_alt 'P 1'
_space_group_IT_number 1
loop_
_space_group_symop_operation_xyz
'x,y,z'
loop_
_atom_site_label
_atom_site_type_symbol
_atom_site_fract_x
_atom_site_fract_y
_atom_site_fract_z
_atom_site_occupancy
Tb1 Tb 0.000 0.000 0.000 1
Ce1 Ce 0.500 0.500 0.500 1
Sc1 Sc 0.250 0.250 0.250 1
Cd1 Cd 0.750 0.750 0.750 1

***

# CaDyInSn (GGA-PBE, optimized geometry)
# - Energy relative to the elements: -0.50 eV/atom
data_CaDyInSn
_cell_length_a 5.378
_cell_length_b 5.378
_cell_length_c 5.378
_cell_angle_alpha 60.00
_cell_angle_beta 60.00
_cell_angle_gamma 60.00
_space_group_name_H-M_alt 'P 1'
_space_group_IT_number 1
loop_
_space_group_symop_operation_xyz
'x,y,z'
loop_
_atom_site_label
_atom_site_type_symbol
_atom_site_fract_x
_atom_site_fract_y
_atom_site_fract_z
_atom_site_occupancy
Ca1 Ca 0.000 0.000 0.000 1
Dy1 Dy 0.500 0.500 0.500 1
In1 In 0.750 0.750 0.750 1
Sn1 Sn 0.250 0.250 0.250 1

***

# Ba2PaMnS6 (GGA-PBE, optimized geometry)
# - E_form (uncorrected): -15.7 eV per formula unit
data_Ba2PaMnS6
_cell_length_a 7.203
_cell_length_b 7.203
_cell_length_c 7.203
_cell_angle_alpha 122.94
_cell_angle_beta 122.94
_cell_angle_gamma 84.98
_space_group_name_H-M_alt 'P 1'
_space_group_IT_number 1
loop_
_space_group_symop_operation_xyz
'x,y,z'
loop_
_atom_site_label
_atom_site_type_symbol
_atom_site_fract_x
_atom_site_fract_y
_atom_site_fract_z
_atom_site_occupancy
Ba1 Ba 0.250 0.750 0.500 1
Ba2 Ba 0.750 0.250 0.500 1
Pa1 Pa 0.000 0.000 0.000 1
Mn1 Mn 0.500 0.500 0.000 1
S1 S 0.210 0.318 0.529 1
S2 S 0.246 0.246 0.000 1
S3 S 0.318 0.790 0.108 1
S4 S 0.682 0.210 0.892 1
S5 S 0.754 0.754 0.000 1
S6 S 0.790 0.682 0.471 1

***

# LaAsPdSe2 (GGA-PBE, optimized geometry)
# - E_form (uncorrected): 2.0 eV per formula unit
# - E above lowest polymorph: 103.8 kJ/mol of atoms
data_LaAsPdSe2
_cell_length_a 5.684
_cell_length_b 5.684
_cell_length_c 5.815
_cell_angle_alpha 90.00
_cell_angle_beta 90.00
_cell_angle_gamma 90.00
_space_group_name_H-M_alt 'P 1'
_space_group_IT_number 1
loop_
_space_group_symop_operation_xyz
'x,y,z'
loop_
_atom_site_label
_atom_site_type_symbol
_atom_site_fract_x
_atom_site_fract_y
_atom_site_fract_z
_atom_site_occupancy
La1 La 0.000 0.000 0.000 1
As1 As 0.000 0.000 0.500 1
Pd1 Pd 0.500 0.500 0.500 1
Se1 Se 0.000 0.500 0.000 1
Se2 Se 0.500 0.000 0.000 1

***

# PuVSi (GGA-PBE, optimized geometry)
# - E_form (uncorrected): 0.4 eV per formula unit
data_PuVSi
_cell_length_a 6.593
_cell_length_b 6.593
_cell_length_c 5.688
_cell_angle_alpha 93.35
_cell_angle_beta 93.35
_cell_angle_gamma 22.35
_space_group_name_H-M_alt 'P 1'
_space_group_IT_number 1
loop_
_space_group_symop_operation_xyz
'x,y,z'
loop_
_atom_site_label
_atom_site_type_symbol
_atom_site_fract_x
_atom_site_fract_y
_atom_site_fract_z
_atom_site_occupancy
Pu1 Pu 0.082 0.082 0.422 1
Pu2 Pu 0.918 0.918 0.578 1
V1 V 0.413 0.413 0.060 1
V2 V 0.587 0.587 0.940 1
Si1 Si 0.242 0.242 0.796 1
Si2 Si 0.758 0.758 0.204 1

***

# Cs2AsAuBr6 (GGA-PBE, optimized geometry)
# - E_form (uncorrected): -9.0 eV per formula unit
data_Cs2AsAuBr6
_cell_length_a 7.816
_cell_length_b 7.816
_cell_length_c 7.816
_cell_angle_alpha 60.00
_cell_angle_beta 60.00
_cell_angle_gamma 60.00
_space_group_name_H-M_alt 'P 1'
_space_group_IT_number 1
loop_
_space_group_symop_operation_xyz
'x,y,z'
loop_
_atom_site_label
_atom_site_type_symbol
_atom_site_fract_x
_atom_site_fract_y
_atom_site_fract_z
_atom_site_occupancy
Cs1 Cs 0.250 0.250 0.250 1
Cs2 Cs 0.750 0.750 0.750 1
As1 As 0.000 0.000 0.000 1
Au1 Au 0.500 0.500 0.500 1
Br1 Br 0.244 0.244 0.756 1
Br2 Br 0.244 0.756 0.244 1
Br3 Br 0.244 0.756 0.756 1
Br4 Br 0.756 0.244 0.244 1
Br5 Br 0.756 0.244 0.756 1
Br6 Br 0.756 0.756 0.244 1